Entry 1:
The following is a DFT calculation (GGA-PBE) of crystalline CsYCuCl5 at its relaxed geometry.

Results
DOS at the Fermi energy in states/eV/atom: 0.00
Electronic total energy in eV per atom: -4.33
Total moment in μB per formula unit: 0.2

Geometry as CIF:
```
data_CsYCuCl5
_cell_length_a 9.123
_cell_length_b 12.100
_cell_length_c 10.125
_cell_angle_alpha 90.00
_cell_angle_beta 113.24
_cell_angle_gamma 90.00
_space_group_name_H-M_alt 'C 1 2/c 1'
_space_group_IT_number 15
_space_group_name_Hall '-C 2yc'
loop_
_atom_site_label
_atom_site_type_symbol
_atom_site_fract_x
_atom_site_fract_y
_atom_site_fract_z
Cs1 Cs 0.000 0.155 0.250
Y1 Y 0.000 0.500 0.000
Cu1 Cu 0.000 0.193 0.750
Cl1 Cl 0.000 0.434 0.250
Cl2 Cl 0.093 0.298 0.604
Cl3 Cl 0.202 0.075 0.914
```

=====

Entry 2:
The following is a DFT calculation (GGA-PBE) of crystalline La2HgOs at its relaxed geometry.

Results
DOS at the Fermi energy in states/eV/atom: 0.58
Electronic total energy in eV per atom: -5.46
Total moment in μB per formula unit: 0.0
Energy of formation from the pure elements in eV per atom: -0.112

Geometry as CIF:
```
data_La2HgOs
_cell_length_a 7.437
_cell_length_b 7.454
_cell_length_c 3.719
_cell_angle_alpha 90.00
_cell_angle_beta 90.10
_cell_angle_gamma 90.00
_space_group_name_H-M_alt 'C 1 2/m 1'
_space_group_IT_number 12
_space_group_name_Hall '-C 2y'
loop_
_atom_site_label
_atom_site_type_symbol
_atom_site_fract_x
_atom_site_fract_y
_atom_site_fract_z
La1 La 0.250 0.250 0.000
Hg1 Hg 0.000 0.000 0.500
Os1 Os 0.000 0.500 0.500
```

=====

Entry 3:
The following is a DFT calculation (GGA-PBE) of crystalline PuThCo at its relaxed geometry.

Results
DOS at the Fermi energy in states/eV/atom: 2.96
Offset from the most stable computed form in eV per atom: 0.000
Electronic total energy in eV per atom: -9.58
Total moment in μB per formula unit: 5.3
Energy of formation from the pure elements in eV per atom: 0.037

Geometry as CIF:
```
data_PuThCo
_cell_length_a 3.507
_cell_length_b 3.507
_cell_length_c 10.587
_cell_angle_alpha 90.00
_cell_angle_beta 90.00
_cell_angle_gamma 90.00
_space_group_name_H-M_alt 'I 4 m m'
_space_group_IT_number 107
_space_group_name_Hall 'I 4 -2'
loop_
_atom_site_label
_atom_site_type_symbol
_atom_site_fract_x
_atom_site_fract_y
_atom_site_fract_z
Pu1 Pu 0.000 0.000 0.000
Th1 Th 0.000 0.000 0.707
Co1 Co 0.000 0.000 0.348
```

=====

> The highest total moment belongs to which entry?

PuThCo